Entry 1:
Cr2TcMo: optimized geometry, GGA-PBE.

a b c (Å): 3.0290 4.2938 4.2189
angles (deg): 90.00 90.00 90.00
Each line ends with the local moment (μB).
Atoms (fractional coordinates):
Cr 0.0000 0.0000 0.0000  -0.91
Cr 0.5000 0.5000 0.0000  1.25
Mo 0.5000 0.0000 0.5000  0.24
Tc 0.0000 0.5000 0.5000  -0.16

Computed properties:
Formation enthalpy at 0 K in eV/atom: 0.09
VASP energy in eV per atom: -10.024
Symmetry: Pmmm (47)
Offset from the most stable computed form in meV per atom: 30


Entry 2:
Sr2CaIr: optimized geometry, GGA-PBE.

a b c (Å): 6.8991 7.9281 9.8965
angles (deg): 90.00 90.00 90.00
Atoms (fractional coordinates):
Sr 0.1705 0.6659 0.0683
Sr 0.3295 0.1659 0.4317
Sr 0.8295 0.3341 0.5683
Sr 0.6705 0.8341 0.9317
Sr 0.8295 0.3341 0.9317
Sr 0.6705 0.8341 0.5683
Sr 0.1705 0.6659 0.4317
Sr 0.3295 0.1659 0.0683
Ca 0.6613 0.5529 0.2500
Ca 0.8387 0.0529 0.2500
Ca 0.3387 0.4471 0.7500
Ca 0.1613 0.9471 0.7500
Ir 0.0231 0.3730 0.2500
Ir 0.4769 0.8730 0.2500
Ir 0.9769 0.6270 0.7500
Ir 0.5231 0.1270 0.7500

Computed properties:
Formation enthalpy at 0 K in eV/atom: -0.23
VASP energy in eV per atom: -3.782
Symmetry: Pnma (62)
Offset from the most stable computed form in meV per atom: 0


Entry 3:
MnTcRu2: optimized geometry, GGA-PBE.

a b c (Å): 4.3144 4.3144 4.3144
angles (deg): 60.00 60.00 60.00
Each line ends with the local moment (μB).
Atoms (fractional coordinates):
Ru 0.2500 0.2500 0.2500  0.26
Ru 0.7500 0.7500 0.7500  0.26
Mn 0.0000 0.0000 0.0000  3.42
Tc 0.5000 0.5000 0.5000  -0.35

Computed properties:
Formation enthalpy at 0 K in eV/atom: 0.25
VASP energy in eV per atom: -9.277
Symmetry: Fm-3m (225)
Offset from the most stable computed form in meV per atom: 181


Look up the VASP energy of the second one. -3.782 eV per atom